[1]
# PBE H2I, relaxed
# Mass density = 3.85 g/cm3
# Raw total energy = -13.24 eV/cell
# Energy above the most stable polymorph in this dataset = 483 meV/atom
# Fermi-level density of states = 1.0 states/eV/f.u.
data_H2I
_symmetry_space_group_name_H-M 'P -1'
_symmetry_Int_Tables_number 2
_cell_length_a 3.964
_cell_length_b 4.111
_cell_length_c 6.831
_cell_angle_alpha 89.95
_cell_angle_beta 89.94
_cell_angle_gamma 86.46
loop_
_symmetry_equiv_pos_as_xyz
'x,y,z'
'-x,-y,-z'
loop_
_atom_site_label
_atom_site_type_symbol
_atom_site_fract_x
_atom_site_fract_y
_atom_site_fract_z
H1 H 0.246 0.247 0.250
H2 H 0.254 0.253 0.750
I1 I 0.246 0.747 0.250

=====

[2]
# PBE H4I, relaxed
# Mass density = 2.22 g/cm3
# Raw total energy = -27.87 eV/cell
# Energy above the most stable polymorph in this dataset = 0 meV/atom
# Fermi-level density of states = 3.0 states/eV/f.u.
data_H4I
_symmetry_space_group_name_H-M 'I 4/m m m'
_symmetry_Int_Tables_number 139
_symmetry_space_group_name_Hall '-I 4 2'
_cell_length_a 5.651
_cell_length_b 5.651
_cell_length_c 6.139
_cell_angle_alpha 90.00
_cell_angle_beta 90.00
_cell_angle_gamma 90.00
loop_
_atom_site_label
_atom_site_type_symbol
_atom_site_fract_x
_atom_site_fract_y
_atom_site_fract_z
H1 H 0.000 0.430 0.000
I1 I 0.000 0.000 0.000

=====

[3]
# PBE H5I, relaxed
# Mass density = 2.23 g/cm3
# Raw total energy = -36.51 eV/cell
# Fermi-level density of states = 0.0 states/eV/f.u.
data_H5I
_symmetry_space_group_name_H-M 'C 1 m 1'
_symmetry_Int_Tables_number 8
_cell_length_a 6.538
_cell_length_b 6.286
_cell_length_c 5.023
_cell_angle_alpha 90.00
_cell_angle_beta 108.09
_cell_angle_gamma 90.00
loop_
_symmetry_equiv_pos_as_xyz
'x,y,z'
'x,-y,z'
'x+1/2,y+1/2,z'
'x+1/2,-y+1/2,z'
loop_
_atom_site_label
_atom_site_type_symbol
_atom_site_fract_x
_atom_site_fract_y
_atom_site_fract_z
H1 H 0.000 0.000 0.000
H2 H 0.033 0.500 0.559
H3 H 0.080 0.000 0.144
H4 H 0.256 0.000 0.691
H5 H 0.343 0.000 0.830
I1 I 0.210 0.500 0.390

=====

[4]
# PBE H2I, relaxed
# Mass density = 2.97 g/cm3
# Raw total energy = -16.13 eV/cell
# Energy above the most stable polymorph in this dataset = 0 meV/atom
# Fermi-level density of states = 2.5 states/eV/f.u.
data_H2I
_symmetry_space_group_name_H-M 'I m m m'
_symmetry_Int_Tables_number 71
_symmetry_space_group_name_Hall '-I 2 2'
_cell_length_a 2.940
_cell_length_b 6.918
_cell_length_c 7.080
_cell_angle_alpha 90.00
_cell_angle_beta 90.00
_cell_angle_gamma 90.00
loop_
_atom_site_label
_atom_site_type_symbol
_atom_site_fract_x
_atom_site_fract_y
_atom_site_fract_z
H1 H 0.000 0.000 0.053
I1 I 0.000 0.000 0.500

=====

[5]
# PBE H5I6, relaxed
# Mass density = 3.56 g/cm3
# Raw total energy = -43.84 eV/cell
# Fermi-level density of states = 2.1 states/eV/f.u.
data_H5I6
_symmetry_space_group_name_H-M 'C 1 2/m 1'
_symmetry_Int_Tables_number 12
_cell_length_a 9.117
_cell_length_b 10.213
_cell_length_c 8.906
_cell_angle_alpha 90.00
_cell_angle_beta 120.37
_cell_angle_gamma 90.00
loop_
_symmetry_equiv_pos_as_xyz
'x,y,z'
'-x,-y,-z'
'-x,y,-z'
'x,-y,z'
'x+1/2,y+1/2,z'
'-x+1/2,-y+1/2,-z'
'-x+1/2,y+1/2,-z'
'x+1/2,-y+1/2,z'
loop_
_atom_site_label
_atom_site_type_symbol
_atom_site_fract_x
_atom_site_fract_y
_atom_site_fract_z
H1 H 0.000 0.000 0.000
H2 H 0.000 0.221 0.000
H3 H 0.000 0.410 0.500
I1 I 0.014 0.183 0.214
I2 I 0.017 0.500 0.314

=====

[6]
# PBE InH2I2, relaxed
# Mass density = 4.09 g/cm3
# Raw total energy = -23.95 eV/cell
# Fermi-level density of states = 1.5 states/eV/f.u.
data_InH2I2
_symmetry_space_group_name_H-M 'P 1 21 1'
_symmetry_Int_Tables_number 4
_cell_length_a 4.760
_cell_length_b 8.312
_cell_length_c 7.969
_cell_angle_alpha 90.00
_cell_angle_beta 107.14
_cell_angle_gamma 90.00
loop_
_symmetry_equiv_pos_as_xyz
'x,y,z'
'-x,y+1/2,-z'
loop_
_atom_site_label
_atom_site_type_symbol
_atom_site_fract_x
_atom_site_fract_y
_atom_site_fract_z
In1 In 0.112 0.000 0.223
H1 H 0.016 0.130 0.031
H2 H 0.430 0.780 0.857
I1 I 0.314 0.765 0.623
I2 I 0.432 0.271 0.864

=====

Please write out number 6 again, unchanged.
# PBE InH2I2, relaxed
# Mass density = 4.09 g/cm3
# Raw total energy = -23.95 eV/cell
# Fermi-level density of states = 1.5 states/eV/f.u.
data_InH2I2
_symmetry_space_group_name_H-M 'P 1 21 1'
_symmetry_Int_Tables_number 4
_cell_length_a 4.760
_cell_length_b 8.312
_cell_length_c 7.969
_cell_angle_alpha 90.00
_cell_angle_beta 107.14
_cell_angle_gamma 90.00
loop_
_symmetry_equiv_pos_as_xyz
'x,y,z'
'-x,y+1/2,-z'
loop_
_atom_site_label
_atom_site_type_symbol
_atom_site_fract_x
_atom_site_fract_y
_atom_site_fract_z
In1 In 0.112 0.000 0.223
H1 H 0.016 0.130 0.031
H2 H 0.430 0.780 0.857
I1 I 0.314 0.765 0.623
I2 I 0.432 0.271 0.864

=====

Q: Among the records above, which one has the lowest Fermi-level density of states?
A: H5I

=====

Q: raw total energy of number 6 (InH2I2)?
A: -23.95 eV/cell

=====

Q: Which value of raw total energy does entry 4 give?
A: -16.13 eV/cell